HoPb2S3 | PBE | relaxed

The structure in extended XYZ format:
```
12
Lattice="5.763 0.000 0.000 0.000 7.675 -0.009 -2.881 -1.930 7.134" Properties=species:S:1:pos:R:3 pbc="T T T"
S 2.883 1.906 5.228
Pb 2.884 0.000 2.319
Pb 2.879 3.837 2.315
Ho 5.759 5.756 -0.007
S 2.882 1.919 -0.002
S 2.880 5.743 5.223
Pb 0.002 1.908 4.810
S 2.881 5.756 -0.007
S 0.002 0.002 1.902
Ho 0.004 1.919 -0.002
Pb -0.002 5.745 4.805
S -0.002 3.839 1.897
```

Results
- Uncorrected formation energy: -1.017 eV/atom
- Fermi-level density of states: 3.499 states/eV/cell
- Total energy: -5.08 eV per atom

U2TeS6 | PBE | relaxed

The structure in extended XYZ format:
```
18
Lattice="-2.936 5.257 1.986 -3.343 -3.435 4.151 8.592 1.664 8.296" Properties=species:S:1:pos:R:3 pbc="T T T"
S 5.235 1.938 8.766
S 2.776 2.651 11.169
S 2.288 1.415 6.111
S -2.921 1.548 5.668
Te 4.296 0.832 4.148
S -0.167 4.107 5.161
S -0.463 0.835 3.265
S 2.480 -0.621 9.273
U 2.598 2.022 8.609
S 0.025 2.071 8.323
S 2.727 4.668 7.956
S -3.010 3.691 2.377
S -0.414 -1.182 6.478
U 1.442 0.279 1.392
U -0.285 1.464 5.825
S -3.270 -1.869 3.761
Te -3.140 0.911 3.069
U 7.150 1.385 6.904
```

Results
- Uncorrected formation energy: -0.799 eV/atom
- Fermi-level density of states: 27.757 states/eV/cell
- Total energy: -6.41 eV per atom

ZrCrOs2 | PBE | relaxed

The structure in extended XYZ format:
```
4
Lattice="5.179 0.011 -0.002 -2.321 4.530 -0.002 0.553 0.719 2.622" Properties=species:S:1:pos:R:3 pbc="T T T"
Zr 1.429 2.271 -0.002
Os -0.884 2.625 1.310
Os 0.000 0.000 0.000
Cr 2.866 0.365 1.310
```

Results
- Fermi-level density of states: 3.963 states/eV/cell
- Formation enthalpy at 0 K: 0.197 eV per atom
- Total energy: -9.96 eV per atom

RbAs3C | PBE | relaxed

The structure in extended XYZ format:
```
5
Lattice="7.288 0.000 0.000 0.000 7.288 0.000 0.000 0.000 7.288" Properties=species:S:1:pos:R:3 pbc="T T T"
As 3.644 0.000 0.000
As 0.000 3.644 0.000
As 0.000 0.000 3.644
C 3.644 3.644 3.644
Rb 0.000 0.000 0.000
```

Results
- Fermi-level density of states: 21.607 states/eV/cell
- Energy above the most stable polymorph in this dataset: 1.9075 eV per atom
- Formation enthalpy at 0 K: 2.930 eV per atom
- Total energy: -1.90 eV per atom

PmEr6Tm3Tl2 | PBE | relaxed

The structure in extended XYZ format:
```
12
Lattice="6.061 0.002 -0.019 -3.028 5.251 -0.019 -0.975 -1.687 11.227" Properties=species:S:1:pos:R:3 pbc="T T T"
Er 2.047 0.013 2.788
Tl 3.028 1.753 -0.019
Pm 0.000 0.000 0.000
Tl 0.005 3.499 -0.019
Tm 1.030 1.783 5.594
Er -1.012 1.779 2.788
Er 0.037 0.064 8.421
Er 2.022 3.501 2.767
Er 0.012 3.553 8.401
Er 3.071 1.786 8.401
Tm 4.055 0.035 5.594
Tm -1.996 3.530 5.594
```

Results
- Fermi-level density of states: 12.713 states/eV/cell
- Formation enthalpy at 0 K: -0.047 eV per atom
- Total energy: -4.24 eV per atom

K3Ac2TbS6 | PBE | relaxed

The structure in extended XYZ format:
```
12
Lattice="7.475 -0.002 -0.001 -3.737 6.474 -0.001 -1.248 -2.160 7.411" Properties=species:S:1:pos:R:3 pbc="T T T"
K 4.992 -0.008 3.704
S -0.070 -0.121 5.868
K 1.245 2.156 3.704
K -2.501 4.320 3.704
S 2.357 -0.001 1.553
S 3.669 2.271 5.855
S 0.133 4.313 5.855
Ac 3.738 2.157 -0.001
S 2.560 4.433 1.541
Ac 0.000 4.316 -0.001
Tb 0.000 0.000 0.000
S -1.179 2.041 1.553
```

Results
- Uncorrected formation energy: -1.880 eV/atom
- Fermi-level density of states: 0.000 states/eV/cell
- Total energy: -5.29 eV per atom

MnNb2Os | PBE | relaxed

The structure in extended XYZ format:
```
8
Lattice="-6.036 5.101 5.458 4.519 -7.434 -4.068 2.902 0.015 3.195" Properties=species:S:1:pos:R:3 pbc="T T T"
Os -0.361 0.956 4.696
Nb 3.218 -5.024 -1.441
Os 1.745 -3.275 -0.111
Nb 6.112 -6.730 -1.146
Mn 2.027 -1.879 2.541
Nb -1.834 2.706 6.025
Nb -4.728 4.412 5.730
Mn -0.643 -0.439 2.044
```

Results
- Fermi-level density of states: 6.765 states/eV/cell
- Formation enthalpy at 0 K: -0.053 eV per atom
- Total energy: -10.19 eV per atom

Sr2NpZnSe5 | PBE | relaxed

The structure in extended XYZ format:
```
18
Lattice="4.192 0.000 0.000 -2.096 9.157 0.000 0.000 0.000 12.868" Properties=species:S:1:pos:R:3 pbc="T T T"
Se 0.000 5.617 4.740
Np 2.096 5.398 6.680
Zn 0.000 8.080 5.657
Sr 0.000 2.022 8.806
Sr 2.096 6.955 10.559
Zn 2.096 1.077 12.091
Se 2.096 3.541 11.174
Sr 2.096 7.136 2.372
Se 2.096 3.834 2.153
Se 0.000 0.956 0.592
Se 2.096 8.201 7.026
Se 0.000 6.540 0.078
Np 0.000 3.759 0.246
Se 2.096 0.003 3.508
Sr 0.000 2.202 4.125
Se 0.000 9.154 9.941
Se 2.096 2.617 6.512
Se 0.000 5.324 8.587
```

Results
- Uncorrected formation energy: -1.410 eV/atom
- Fermi-level density of states: 18.355 states/eV/cell
- Total energy: -5.30 eV per atom